No. 1
First-principles (PBE) data for a relaxed structure of Mg2H3Ir4, as listed in the Alexandria database.

Output
- Energy: -5.496 eV per atom
- Density: 12.7 g cm⁻³
- Fermi-level density of states: 0.54 states/eV/atom

```
Mg2H3Ir4
1.0
4.602 0.000 0.000
0.000 2.870 0.000
-0.048 0.000 8.102
Mg H Ir
2 3 4
Direct
0.000 0.000 0.000 Mg
0.016 0.000 0.586 Mg
0.471 0.000 0.577 H
0.701 0.500 0.433 H
0.705 0.500 0.729 H
0.465 0.000 0.348 Ir
0.494 0.500 0.068 Ir
0.510 0.000 0.791 Ir
0.987 0.500 0.296 Ir
```


No. 2
First-principles (PBE) data for a relaxed structure of Mg2HIr2, as listed in the Alexandria database.

Output
- Energy: -5.152 eV per atom
- Density: 10.8 g cm⁻³
- Fermi-level density of states: 0.57 states/eV/atom

```
Mg2HIr2
1.0
2.883 0.000 0.000
-0.007 4.763 0.000
-1.425 -1.602 4.878
Mg H Ir
2 1 2
Direct
0.107 0.298 0.214 Mg
0.893 0.702 0.786 Mg
0.500 0.500 0.000 H
0.353 0.174 0.704 Ir
0.647 0.826 0.296 Ir
```


No. 3
First-principles (PBE) data for a relaxed structure of MgH5Ir3, as listed in the Alexandria database.

Output
- Energy: -5.002 eV per atom
- Density: 11.9 g cm⁻³
- Fermi-level density of states: 0.35 states/eV/atom

```
MgH5Ir3
1.0
4.491 0.000 0.000
2.243 4.171 0.000
2.223 0.124 4.499
Mg H Ir
1 5 3
Direct
0.000 0.000 0.000 Mg
0.161 0.415 0.788 H
0.361 0.585 0.212 H
0.500 0.000 0.000 H
0.639 0.415 0.788 H
0.839 0.585 0.212 H
0.000 0.500 0.500 Ir
0.377 0.864 0.381 Ir
0.623 0.136 0.619 Ir
```


No. 4
First-principles (PBE) data for a relaxed structure of Mg2H5Ir, as listed in the Alexandria database.

Output
- Energy: -3.819 eV per atom
- Density: 5.1 g cm⁻³
- Fermi-level density of states: 0.10 states/eV/atom

```
Mg2H5Ir
1.0
4.346 0.000 0.000
0.000 3.361 0.000
-0.006 0.000 5.519
Mg H Ir
2 5 1
Direct
0.000 0.000 0.000 Mg
0.002 0.500 0.479 Mg
0.001 0.500 0.832 H
0.281 0.000 0.579 H
0.500 0.000 0.023 H
0.501 0.500 0.244 H
0.722 0.000 0.579 H
0.501 0.000 0.326 Ir
```


No. 5
First-principles (PBE) data for a relaxed structure of Mg3HIr, as listed in the Alexandria database.

Output
- Energy: -3.672 eV per atom
- Density: 5.5 g cm⁻³
- Fermi-level density of states: 0.26 states/eV/atom

```
Mg3HIr
1.0
4.358 0.000 0.000
0.000 6.137 0.000
0.000 -1.041 6.055
Mg H Ir
6 2 2
Direct
0.000 0.000 0.000 Mg
0.000 0.082 0.544 Mg
0.000 0.624 0.623 Mg
0.500 0.254 0.364 Mg
0.500 0.338 0.909 Mg
0.500 0.713 0.289 Mg
0.494 0.741 0.888 H
0.994 0.597 0.023 H
0.499 0.916 0.709 Ir
0.999 0.422 0.202 Ir
```


No. 6
First-principles (PBE) data for a relaxed structure of Mg2H2Ir, as listed in the Alexandria database.

Output
- Energy: -3.766 eV per atom
- Density: 7.0 g cm⁻³
- Fermi-level density of states: 0.30 states/eV/atom

```
Mg2H2Ir
1.0
6.086 0.000 0.000
0.000 6.086 0.000
0.000 0.000 3.095
Mg H Ir
4 4 2
Direct
0.187 0.313 0.000 Mg
0.313 0.813 0.000 Mg
0.687 0.187 0.000 Mg
0.813 0.687 0.000 Mg
0.156 0.656 0.500 H
0.344 0.156 0.500 H
0.656 0.844 0.500 H
0.844 0.344 0.500 H
0.000 0.000 0.500 Ir
0.500 0.500 0.500 Ir
```


No. 7
First-principles (PBE) data for a relaxed structure of MgH4Ir2, as listed in the Alexandria database.

Output
- Energy: -4.726 eV per atom
- Density: 11.0 g cm⁻³
- Fermi-level density of states: 0.16 states/eV/atom

```
MgH4Ir2
1.0
0.000 3.624 2.913
2.955 0.000 2.913
2.955 3.624 0.000
Mg H Ir
1 4 2
Direct
0.000 0.000 0.000 Mg
0.205 0.626 0.374 H
0.502 0.980 0.498 H
0.626 0.205 0.795 H
0.980 0.502 0.020 H
0.250 0.250 0.250 Ir
0.750 0.750 0.750 Ir
```


No. 8
First-principles (PBE) data for a relaxed structure of MgH5Ir3, as listed in the Alexandria database.

Output
- Energy: -4.998 eV per atom
- Density: 11.0 g cm⁻³
- Fermi-level density of states: 0.23 states/eV/atom

```
MgH5Ir3
1.0
4.514 0.000 0.000
2.257 4.204 0.000
0.014 0.435 4.813
Mg H Ir
1 5 3
Direct
0.000 0.000 0.000 Mg
0.001 0.486 0.756 H
0.108 0.323 0.224 H
0.508 0.484 0.756 H
0.568 0.322 0.223 H
0.572 0.857 0.081 H
0.141 0.715 0.542 Ir
0.494 0.010 0.369 Ir
0.816 0.365 0.497 Ir
```